[1]
4
Lattice="0.000 3.111 3.111 3.111 0.000 3.111 3.111 3.111 0.000" Properties=species:S:1:pos:R:3 comment="InCoReTc (PBE, optimized geometry)" relative_energy_mev_per_atom=0 spacegroup=F-43m pbc="T T T"
In 0.000 0.000 0.000
Co 1.555 1.555 1.555
Re 3.111 3.111 3.111
Tc 4.666 4.666 4.666

***

[2]
4
Lattice="0.000 3.642 3.642 3.642 0.000 3.642 3.642 3.642 0.000" Properties=species:S:1:pos:R:3 comment="YHf2Zr (PBE, optimized geometry)" ef_ev_per_atom=0.2777 spacegroup=F-43m pbc="T T T"
Y 0.000 0.000 0.000
Hf 1.821 1.821 1.821
Hf 3.642 3.642 3.642
Zr 5.462 5.462 5.462

***

[3]
2
Lattice="1.647 -2.467 0.000 1.647 2.467 0.000 0.000 0.000 4.367" Properties=species:S:1:pos:R:3 comment="ZrTc (PBE, optimized geometry)" ef_ev_per_atom=-0.1070 spacegroup=Cmmm pbc="T T T"
Zr 0.000 0.000 0.000
Tc 1.647 0.000 2.184

***

[4]
16
Lattice="5.771 0.000 0.000 0.000 8.897 0.000 0.000 0.000 5.645" Properties=species:S:1:pos:R:3 comment="ZnGeSeO (PBE, optimized geometry)" relative_energy_mev_per_atom=48 spacegroup=Pca2_1 pbc="T T T"
Zn 0.595 0.713 0.000
Zn 2.290 0.713 2.822
Zn 3.481 8.184 0.000
Zn 5.176 8.184 2.822
Ge 0.026 6.078 0.590
Ge 2.859 6.078 3.412
Ge 2.912 2.818 0.590
Ge 5.745 2.818 3.412
Se 0.171 6.002 3.618
Se 2.715 6.002 0.796
Se 3.056 2.895 3.618
Se 5.600 2.895 0.796
O 0.412 0.795 3.615
O 2.474 0.795 0.793
O 3.297 8.102 3.615
O 5.360 8.102 0.793

***

[5]
4
Lattice="0.000 3.542 3.542 3.542 0.000 3.542 3.542 3.542 0.000" Properties=species:S:1:pos:R:3 comment="AlTl2Mo (PBE, optimized geometry)" spacegroup=F-43m pbc="T T T"
Al 0.000 0.000 0.000
Tl 3.542 3.542 3.542
Tl 5.313 5.313 5.313
Mo 1.771 1.771 1.771

***

[6]
14
Lattice="9.952 0.000 0.000 0.000 5.139 3.633 0.000 -5.139 3.633" Properties=species:S:1:pos:R:3 comment="Sr2WS4 (PBE, optimized geometry)" spacegroup=Ama2 pbc="T T T"
Sr 0.000 0.000 0.000
Sr 2.488 1.973 3.945
Sr 4.976 0.000 0.000
Sr 7.464 -1.973 3.945
W 2.488 -2.340 3.907
W 7.464 2.340 3.907
S 0.628 -2.309 2.567
S 2.488 0.759 1.349
S 2.488 -0.704 5.529
S 4.348 -2.309 2.567
S 5.604 2.309 2.567
S 7.464 -0.759 1.349
S 7.464 0.704 5.529
S 9.324 2.309 2.567

***

[7]
36
Lattice="7.529 0.000 0.000 0.000 6.956 0.000 -0.571 0.000 10.083" Properties=species:S:1:pos:R:3 comment="Cs2ZrCu3F12 (PBE, optimized geometry)" relative_energy_mev_per_atom=0 spacegroup=P2_1/m pbc="T T T"
Cs 0.015 1.739 1.427
Cs 3.044 5.217 6.283
Cs 3.914 1.739 3.800
Cs 6.943 5.217 8.656
Zr 2.121 5.217 2.485
Zr 4.837 1.739 7.598
Cu -0.285 0.000 5.041
Cu -0.285 3.478 5.041
Cu 1.156 1.739 7.827
Cu 3.765 0.000 0.000
Cu 3.765 3.478 0.000
Cu 5.802 5.217 2.256
F 0.103 1.739 4.367
F 0.369 5.217 1.467
F 0.697 0.293 6.661
F 0.697 3.186 6.661
F 1.552 3.953 3.994
F 1.552 6.482 3.994
F 1.595 0.373 9.101
F 1.595 3.106 9.101
F 2.542 0.202 1.804
F 2.542 3.276 1.804
F 2.954 5.217 0.408
F 3.034 1.739 6.680
F 3.924 5.217 3.403
F 4.004 1.739 9.675
F 4.416 3.680 8.278
F 4.416 6.755 8.278
F 5.363 3.851 0.981
F 5.363 6.584 0.981
F 5.406 0.475 6.088
F 5.406 3.003 6.088
F 6.261 3.771 3.422
F 6.261 6.664 3.422
F 6.589 1.739 8.616
F 6.855 5.217 5.716

***

[8]
8
Lattice="4.923 0.000 0.000 0.000 4.923 0.000 0.000 0.000 6.952" Properties=species:S:1:pos:R:3 comment="Dy2HoTmPd4 (PBE, optimized geometry)" ef_ev_per_atom=-0.9133 spacegroup=P4/mmm pbc="T T T"
Dy 0.000 0.000 0.000
Dy 2.462 2.462 3.476
Ho 0.000 0.000 3.476
Tm 2.462 2.462 0.000
Pd 0.000 2.462 1.734
Pd 0.000 2.462 5.219
Pd 2.462 0.000 1.734
Pd 2.462 0.000 5.219

***

| no. | calculated volume (Å³ per cell) | VASP energy (eV/cell) |
| --- | --- | --- |
| 1 | 60.2 | -31.36 |
| 2 | 96.6 | -33.81 |
| 3 | 35.5 | -19.12 |
| 4 | 289.8 | -69.84 |
| 5 | 88.9 | -15.83 |
| 6 | 371.6 | -82.69 |
| 7 | 528.1 | -174.58 |
| 8 | 168.5 | -46.26 |